# Dy3Ho2Er6Pu (PBE, relaxed)
data_Dy3Ho2Er6Pu
_cell_length_a 6.0753
_cell_length_b 10.5236
_cell_length_c 11.5905
_cell_angle_alpha 90.00
_cell_angle_beta 100.08
_cell_angle_gamma 90.00
_symmetry_space_group_name_H-M 'C 1 2/m 1'
_symmetry_Int_Tables_number 12
loop_
_symmetry_equiv_pos_as_xyz
'x,y,z'
'-x,-y,-z'
'-x,y,-z'
'x,-y,z'
'x+1/2,y+1/2,z'
'-x+1/2,-y+1/2,-z'
'-x+1/2,y+1/2,-z'
'x+1/2,-y+1/2,z'
loop_
_atom_site_label
_atom_site_type_symbol
_atom_site_fract_x
_atom_site_fract_y
_atom_site_fract_z
Dy1 Dy 0.0000 0.0000 0.0000
Dy2 Dy 0.0000 0.3326 0.0000
Ho1 Ho 0.0000 0.1666 0.5000
Er1 Er 0.2472 0.3352 0.7478
Er2 Er 0.2472 0.5000 0.2520
Pu1 Pu 0.0000 0.5000 0.5000
# Volume in A^3/atom: 30.4
# Calculated formation energy in eV per atom: 0.042
# Total magnetic moment in Bohr magnetons per cell: 12.91
# Crystal system: monoclinic

***

# DyHo6Er2Pu (PBE, relaxed)
data_DyHo6Er2Pu
_cell_length_a 9.6659
_cell_length_b 13.8004
_cell_length_c 9.4796
_cell_angle_alpha 90.00
_cell_angle_beta 102.11
_cell_angle_gamma 90.00
_symmetry_space_group_name_H-M 'C 1 2/c 1'
_symmetry_Int_Tables_number 15
loop_
_symmetry_equiv_pos_as_xyz
'x,y,z'
'-x,-y,-z'
'-x,y,-z+1/2'
'x,-y,z+1/2'
'x+1/2,y+1/2,z'
'-x+1/2,-y+1/2,-z'
'-x+1/2,y+1/2,-z+1/2'
'x+1/2,-y+1/2,z+1/2'
loop_
_atom_site_label
_atom_site_type_symbol
_atom_site_fract_x
_atom_site_fract_y
_atom_site_fract_z
Dy1 Dy 0.0000 0.0412 0.2500
Ho1 Ho 0.0680 0.3948 0.1009
Ho2 Ho 0.0793 0.1787 0.9376
Ho3 Ho 0.2388 0.2207 0.3226
Er1 Er 0.2336 0.0350 0.5716
Pu1 Pu 0.0000 0.3999 0.7500
# Volume in A^3/atom: 30.9
# Calculated formation energy in eV per atom: 0.169
# Total magnetic moment in Bohr magnetons per cell: 25.99
# Crystal system: monoclinic

***

Please write out number 2 again, unchanged.
# DyHo6Er2Pu (PBE, relaxed)
data_DyHo6Er2Pu
_cell_length_a 9.6659
_cell_length_b 13.8004
_cell_length_c 9.4796
_cell_angle_alpha 90.00
_cell_angle_beta 102.11
_cell_angle_gamma 90.00
_symmetry_space_group_name_H-M 'C 1 2/c 1'
_symmetry_Int_Tables_number 15
loop_
_symmetry_equiv_pos_as_xyz
'x,y,z'
'-x,-y,-z'
'-x,y,-z+1/2'
'x,-y,z+1/2'
'x+1/2,y+1/2,z'
'-x+1/2,-y+1/2,-z'
'-x+1/2,y+1/2,-z+1/2'
'x+1/2,-y+1/2,z+1/2'
loop_
_atom_site_label
_atom_site_type_symbol
_atom_site_fract_x
_atom_site_fract_y
_atom_site_fract_z
Dy1 Dy 0.0000 0.0412 0.2500
Ho1 Ho 0.0680 0.3948 0.1009
Ho2 Ho 0.0793 0.1787 0.9376
Ho3 Ho 0.2388 0.2207 0.3226
Er1 Er 0.2336 0.0350 0.5716
Pu1 Pu 0.0000 0.3999 0.7500
# Volume in A^3/atom: 30.9
# Calculated formation energy in eV per atom: 0.169
# Total magnetic moment in Bohr magnetons per cell: 25.99
# Crystal system: monoclinic

***

Q: What is the total magnetic moment in the second record?
A: 25.99 Bohr magnetons per cell